[1]
{"formula": "P2SeCl", "functional": "PBE", "state": "optimized geometry", "lattice_angstrom": [[-3.565, 3.565, 3.200], [3.565, -3.565, 3.200], [3.565, 3.565, -3.200]], "species": ["P", "P", "P", "P", "Se", "Se", "Cl", "Cl"], "fractional_positions": [[0.101, 0.125, 0.476], [0.375, 0.899, 0.024], [0.649, 0.625, 0.524], [0.875, 0.351, 0.976], [0.000, 0.000, 0.000], [0.750, 0.250, 0.500], [0.250, 0.750, 0.500], [0.500, 0.500, 0.000]], "total_magnetization_mub_per_fu": 0.00, "polymorph_energy_mev_per_atom": 671.6, "mass_density_g_cm3": 3.602, "final_energy_ev_per_atom": -3.45}

=====

[2]
{"formula": "PSeCl2", "functional": "PBE", "state": "optimized geometry", "lattice_angstrom": [[0.000, 3.404, 3.404], [3.404, 0.000, 3.404], [3.404, 3.404, 0.000]], "species": ["P", "Se", "Cl", "Cl"], "fractional_positions": [[0.000, 0.000, 0.000], [0.500, 0.500, 0.500], [0.250, 0.250, 0.250], [0.750, 0.750, 0.750]], "total_magnetization_mub_per_fu": 0.67, "polymorph_energy_mev_per_atom": 1116.2, "mass_density_g_cm3": 3.805, "final_energy_ev_per_atom": -2.25}

=====

[3]
{"formula": "PSeCl2", "functional": "PBE", "state": "optimized geometry", "lattice_angstrom": [[5.575, -2.091, 0.000], [5.575, 2.091, 0.000], [-0.154, 0.000, 5.972]], "species": ["P", "Se", "Cl", "Cl"], "fractional_positions": [[0.000, 0.000, 0.000], [0.435, 0.435, 0.828], [0.594, 0.594, 0.609], [0.842, 0.842, 0.179]], "total_magnetization_mub_per_fu": 0.00, "polymorph_energy_mev_per_atom": 106.7, "mass_density_g_cm3": 2.156, "final_energy_ev_per_atom": -3.25}

=====

[4]
{"formula": "PSe2Cl", "functional": "PBE", "state": "optimized geometry", "lattice_angstrom": [[0.000, 3.351, 3.351], [3.351, 0.000, 3.351], [3.351, 3.351, 0.000]], "species": ["P", "Se", "Se", "Cl"], "fractional_positions": [[0.000, 0.000, 0.000], [0.250, 0.250, 0.250], [0.750, 0.750, 0.750], [0.500, 0.500, 0.500]], "total_magnetization_mub_per_fu": 0.00, "polymorph_energy_mev_per_atom": 871.3, "mass_density_g_cm3": 4.949, "final_energy_ev_per_atom": -2.88}

=====

[5]
{"formula": "PSeCl7", "functional": "PBE", "state": "optimized geometry", "lattice_angstrom": [[8.210, 0.000, 0.000], [-0.637, 8.298, 0.000], [-2.342, -0.277, 10.309]], "species": ["P", "P", "Se", "Se", "Cl", "Cl", "Cl", "Cl", "Cl", "Cl", "Cl", "Cl", "Cl", "Cl", "Cl", "Cl", "Cl", "Cl"], "fractional_positions": [[0.000, 0.000, 0.000], [0.184, 0.479, 0.575], [0.597, 0.684, 0.011], [0.741, 0.155, 0.518], [0.035, 0.038, 0.814], [0.105, 0.216, 0.091], [0.190, 0.537, 0.388], [0.296, 0.690, 0.673], [0.381, 0.803, 0.086], [0.474, 0.440, 0.004], [0.537, 0.260, 0.616], [0.624, 0.229, 0.324], [0.633, 0.907, 0.515], [0.745, 0.042, 0.972], [0.765, 0.688, 0.203], [0.801, 0.606, 0.902], [0.933, 0.513, 0.576], [0.988, 0.082, 0.458]], "total_magnetization_mub_per_fu": 0.00, "mass_density_g_cm3": 1.693, "final_energy_ev_per_atom": -2.88}

=====

[6]
{"formula": "PSeCl2", "functional": "PBE", "state": "optimized geometry", "lattice_angstrom": [[3.026, 0.000, 0.000], [0.000, 4.148, 0.000], [0.000, 0.000, 6.105]], "species": ["P", "Se", "Cl", "Cl"], "fractional_positions": [[0.000, 0.000, 0.000], [0.000, 0.000, 0.500], [0.500, 0.500, 0.237], [0.500, 0.500, 0.763]], "total_magnetization_mub_per_fu": 0.00, "polymorph_energy_mev_per_atom": 1005.4, "mass_density_g_cm3": 3.920, "final_energy_ev_per_atom": -2.36}

=====

[7]
{"formula": "PSe2Cl", "functional": "PBE", "state": "optimized geometry", "lattice_angstrom": [[3.021, 0.000, 0.000], [0.000, 3.021, 0.000], [0.000, 0.000, 11.201]], "species": ["P", "Se", "Se", "Cl"], "fractional_positions": [[0.000, 0.000, 0.000], [0.000, 0.000, 0.419], [0.500, 0.500, 0.111], [0.500, 0.500, 0.777]], "total_magnetization_mub_per_fu": 0.48, "polymorph_energy_mev_per_atom": 723.1, "mass_density_g_cm3": 3.645, "final_energy_ev_per_atom": -3.03}

=====

[8]
{"formula": "SiPSeCl2", "functional": "PBE", "state": "optimized geometry", "lattice_angstrom": [[4.457, 0.000, 0.000], [0.000, 4.457, 0.000], [0.000, 0.000, 5.209]], "species": ["Si", "P", "Se", "Cl", "Cl"], "fractional_positions": [[0.000, 0.000, 0.000], [0.000, 0.000, 0.500], [0.500, 0.500, 0.500], [0.000, 0.500, 0.000], [0.500, 0.000, 0.000]], "total_magnetization_mub_per_fu": 0.30, "polymorph_energy_mev_per_atom": 0.0, "mass_density_g_cm3": 3.353, "final_energy_ev_per_atom": -3.32}

=====

[9]
{"formula": "Sm4PSe2Cl", "functional": "PBE", "state": "optimized geometry", "lattice_angstrom": [[7.174, 0.000, 0.000], [0.000, 4.102, 0.000], [-2.331, 0.000, 6.810]], "species": ["Sm", "Sm", "Sm", "Sm", "P", "Se", "Se", "Cl"], "fractional_positions": [[0.234, 0.000, 0.226], [0.248, 0.500, 0.772], [0.752, 0.500, 0.228], [0.766, 0.000, 0.774], [0.000, 0.500, 0.000], [0.500, 0.000, 0.000], [0.500, 0.500, 0.500], [0.000, 0.000, 0.500]], "total_magnetization_mub_per_fu": 0.00, "mass_density_g_cm3": 6.842, "final_energy_ev_per_atom": -5.82}

=====

[10]
{"formula": "Sm6P2Se3Cl", "functional": "PBE", "state": "optimized geometry", "lattice_angstrom": [[9.015, -2.062, 0.000], [9.015, 2.062, 0.000], [-1.867, 0.000, 8.113]], "species": ["Sm", "Sm", "Sm", "Sm", "Sm", "Sm", "P", "P", "Se", "Se", "Se", "Cl"], "fractional_positions": [[0.009, 0.009, 0.268], [0.326, 0.326, 0.892], [0.328, 0.328, 0.427], [0.672, 0.672, 0.573], [0.674, 0.674, 0.108], [0.991, 0.991, 0.732], [0.167, 0.167, 0.334], [0.833, 0.833, 0.666], [0.161, 0.161, 0.836], [0.500, 0.500, 0.500], [0.839, 0.839, 0.164], [0.500, 0.500, 0.000]], "total_magnetization_mub_per_fu": 0.00, "mass_density_g_cm3": 6.806, "final_energy_ev_per_atom": -6.01}

=====

[11]
{"formula": "Sm6P3Se2Cl", "functional": "PBE", "state": "optimized geometry", "lattice_angstrom": [[9.086, -2.050, 0.000], [9.086, 2.050, 0.000], [-2.159, 0.000, 8.076]], "species": ["Sm", "Sm", "Sm", "Sm", "Sm", "Sm", "P", "P", "P", "Se", "Se", "Cl"], "fractional_positions": [[0.005, 0.005, 0.227], [0.324, 0.324, 0.427], [0.337, 0.337, 0.905], [0.663, 0.663, 0.095], [0.676, 0.676, 0.573], [0.995, 0.995, 0.773], [0.165, 0.165, 0.334], [0.500, 0.500, 0.000], [0.835, 0.835, 0.666], [0.164, 0.164, 0.828], [0.836, 0.836, 0.172], [0.500, 0.500, 0.500]], "total_magnetization_mub_per_fu": 0.00, "mass_density_g_cm3": 6.560, "final_energy_ev_per_atom": -6.18}

=====

[12]
{"formula": "Sm8P3Se4Cl", "functional": "PBE", "state": "optimized geometry", "lattice_angstrom": [[4.128, 2.383, 6.805], [-4.128, 2.383, 6.805], [0.000, -4.766, 6.805]], "species": ["Sm", "Sm", "Sm", "Sm", "Sm", "Sm", "Sm", "Sm", "P", "P", "P", "Se", "Se", "Se", "Se", "Cl"], "fractional_positions": [[0.228, 0.754, 0.754], [0.243, 0.243, 0.243], [0.246, 0.246, 0.772], [0.246, 0.772, 0.246], [0.754, 0.228, 0.754], [0.754, 0.754, 0.228], [0.757, 0.757, 0.757], [0.772, 0.246, 0.246], [0.000, 0.000, 0.500], [0.000, 0.500, 0.000], [0.500, 0.000, 0.000], [0.000, 0.000, 0.000], [0.000, 0.500, 0.500], [0.500, 0.000, 0.500], [0.500, 0.500, 0.000], [0.500, 0.500, 0.500]], "total_magnetization_mub_per_fu": 0.00, "mass_density_g_cm3": 6.810, "final_energy_ev_per_atom": -6.11}